[1]
The following is a DFT calculation (PBE) of PmZnPb after structural relaxation.

* DOS(E_F): 0.84 states/eV per atom
* energy relative to the lowest polymorph listed for this composition: 0.062 eV/atom
* calculated density: 8.7 g/cm³
* electronic total energy: -3.56 eV per atom
* ΔH_f (0 K): -0.32 eV per atom
* M_tot: 0.0 Bohr magnetons per cell

a b c (Å): 4.3161 4.4001 8.6515
angles (deg): 104.73 90.00 90.00
Fractional positions:
Zn (0.2500, 0.5412, 0.5824)
Zn (0.7500, 0.4588, 0.4176)
Pm (0.7500, 0.0939, 0.6877)
Pm (0.2500, 0.9061, 0.3123)
Pb (0.7500, 0.2895, 0.0791)
Pb (0.2500, 0.7105, 0.9209)

=====

[2]
The following is a DFT calculation (PBE) of Pm7ZnPb4 after structural relaxation.

* DOS(E_F): 0.97 states/eV per atom
* calculated density: 7.9 g/cm³
* electronic total energy: -4.37 eV per atom
* ΔH_f (0 K): -0.25 eV per atom
* M_tot: 0.0 Bohr magnetons per cell

a b c (Å): 5.5903 9.5242 8.3866
angles (deg): 78.66 70.53 72.93
Fractional positions:
Pm (0.9164, 0.3125, 0.8547)
Pm (0.6436, 0.4345, 0.2784)
Pm (0.7956, 0.8625, 0.5462)
Pm (0.0836, 0.6875, 0.1453)
Pm (0.3564, 0.5655, 0.7216)
Pm (0.5000, 0.0000, 0.0000)
Pm (0.2044, 0.1375, 0.4538)
Pb (0.7165, 0.6645, 0.9025)
Pb (0.2835, 0.3355, 0.0975)
Pb (0.4216, 0.7859, 0.3710)
Pb (0.5784, 0.2141, 0.6290)
Zn (0.0000, 0.0000, 0.0000)

=====

[3]
The following is a DFT calculation (PBE) of Pm7ZnPb2 after structural relaxation.

* DOS(E_F): 0.97 states/eV per atom
* calculated density: 7.3 g/cm³
* electronic total energy: -3.93 eV per atom
* ΔH_f (0 K): 0.26 eV per atom
* M_tot: 0.0 Bohr magnetons per cell

a b c (Å): 7.8430 7.8430 7.8430
angles (deg): 60.00 60.00 60.00
Fractional positions:
Pm (0.2451, 0.2451, 0.7549)
Pm (0.2451, 0.7549, 0.7549)
Pm (0.2451, 0.7549, 0.2451)
Pm (0.7549, 0.2451, 0.7549)
Pm (0.5000, 0.5000, 0.5000)
Pm (0.7549, 0.7549, 0.2451)
Pm (0.7549, 0.2451, 0.2451)
Pb (0.7500, 0.7500, 0.7500)
Pb (0.2500, 0.2500, 0.2500)
Zn (0.0000, 0.0000, 0.0000)

=====

[4]
The following is a DFT calculation (PBE) of Pm6ZnPb6 after structural relaxation.

* DOS(E_F): 0.82 states/eV per atom
* calculated density: 8.8 g/cm³
* electronic total energy: -4.36 eV per atom
* ΔH_f (0 K): -0.36 eV per atom
* M_tot: 0.7 Bohr magnetons per cell

a b c (Å): 6.7023 6.7023 10.5348
angles (deg): 90.00 90.00 120.00
Fractional positions:
Pb (0.5000, 0.5000, 0.7504)
Pb (0.0000, 0.5000, 0.2496)
Pb (0.0000, 0.5000, 0.7504)
Pb (0.5000, 0.5000, 0.2496)
Pb (0.5000, 0.0000, 0.2496)
Pb (0.5000, 0.0000, 0.7504)
Pm (0.0000, 0.0000, 0.6965)
Pm (0.3333, 0.6667, 0.0000)
Pm (0.6667, 0.3333, 0.0000)
Pm (0.6667, 0.3333, 0.5000)
Pm (0.3333, 0.6667, 0.5000)
Pm (0.0000, 0.0000, 0.3035)
Zn (0.0000, 0.0000, 0.0000)

=====

[5]
The following is a DFT calculation (PBE) of Pm4ZnPb2 after structural relaxation.

* DOS(E_F): 1.17 states/eV per atom
* energy relative to the lowest polymorph listed for this composition: 0.000 eV/atom
* calculated density: 8.5 g/cm³
* electronic total energy: -4.29 eV per atom
* ΔH_f (0 K): -0.34 eV per atom
* M_tot: 0.0 Bohr magnetons per cell

a b c (Å): 5.9365 6.6578 11.2760
angles (deg): 90.00 111.81 90.00
Fractional positions:
Pb (0.6237, 0.7500, 0.0102)
Pb (0.7879, 0.7500, 0.5726)
Pb (0.2121, 0.2500, 0.4274)
Pb (0.3763, 0.2500, 0.9898)
Pm (0.4303, 0.0113, 0.7342)
Pm (0.5697, 0.9887, 0.2658)
Pm (0.8129, 0.2500, 0.5613)
Pm (0.4303, 0.4887, 0.7342)
Pm (0.5697, 0.5113, 0.2658)
Pm (0.9560, 0.2500, 0.1128)
Pm (0.0440, 0.7500, 0.8872)
Pm (0.1871, 0.7500, 0.4387)
Zn (0.0914, 0.7500, 0.1692)
Zn (0.9086, 0.2500, 0.8308)

=====

[6]
The following is a DFT calculation (PBE) of Pm3ZrPb5 after structural relaxation.

* DOS(E_F): 0.93 states/eV per atom
* calculated density: 10.1 g/cm³
* electronic total energy: -5.04 eV per atom
* ΔH_f (0 K): -0.44 eV per atom
* M_tot: 0.0 Bohr magnetons per cell

a b c (Å): 6.4239 9.6195 9.6195
angles (deg): 120.00 90.00 90.00
Fractional positions:
Pb (0.0000, 0.6667, 0.3333)
Pb (0.7500, 0.0000, 0.7276)
Pb (0.0000, 0.3333, 0.6667)
Pb (0.2500, 0.2724, 0.0000)
Pb (0.5000, 0.3333, 0.6667)
Pb (0.2500, 0.7276, 0.7276)
Pb (0.5000, 0.6667, 0.3333)
Pb (0.2500, 0.0000, 0.2724)
Pb (0.7500, 0.2724, 0.2724)
Pb (0.7500, 0.7276, 0.0000)
Pm (0.7500, 0.3835, 0.0000)
Pm (0.7500, 0.6165, 0.6165)
Pm (0.2500, 0.6165, 0.0000)
Pm (0.7500, 0.0000, 0.3835)
Pm (0.2500, 0.0000, 0.6165)
Pm (0.2500, 0.3835, 0.3835)
Zr (0.5000, 0.0000, 0.0000)
Zr (0.0000, 0.0000, 0.0000)

=====

[7]
The following is a DFT calculation (PBE) of PmZrPb2 after structural relaxation.

* DOS(E_F): 0.93 states/eV per atom
* calculated density: 10.1 g/cm³
* electronic total energy: -5.42 eV per atom
* ΔH_f (0 K): -0.24 eV per atom
* M_tot: 0.0 Bohr magnetons per cell

a b c (Å): 4.5163 4.8595 4.8595
angles (deg): 90.00 90.00 90.00
Fractional positions:
Pb (0.0000, 0.5000, 0.0000)
Pb (0.0000, 0.0000, 0.5000)
Pm (0.5000, 0.5000, 0.5000)
Zr (0.5000, 0.0000, 0.0000)

=====

[8]
The following is a DFT calculation (PBE) of Pm2ZrPb after structural relaxation.

* DOS(E_F): 1.23 states/eV per atom
* energy relative to the lowest polymorph listed for this composition: 0.051 eV/atom
* calculated density: 8.3 g/cm³
* electronic total energy: -5.57 eV per atom
* ΔH_f (0 K): -0.13 eV per atom
* M_tot: 0.0 Bohr magnetons per cell

a b c (Å): 3.4437 3.4437 9.8804
angles (deg): 90.00 90.00 90.00
Fractional positions:
Pb (0.5000, 0.5000, 0.0000)
Pm (0.0000, 0.0000, 0.7475)
Pm (0.0000, 0.0000, 0.2525)
Zr (0.5000, 0.5000, 0.5000)

=====

[9]
The following is a DFT calculation (PBE) of PmZrPb2 after structural relaxation.

* DOS(E_F): 0.81 states/eV per atom
* calculated density: 10.0 g/cm³
* electronic total energy: -5.44 eV per atom
* ΔH_f (0 K): -0.26 eV per atom
* M_tot: 0.0 Bohr magnetons per cell

a b c (Å): 3.9909 3.9909 6.7638
angles (deg): 90.00 90.00 90.00
Fractional positions:
Pb (0.0000, 0.0000, 0.7716)
Pb (0.0000, 0.0000, 0.2284)
Zr (0.5000, 0.5000, 0.0000)
Pm (0.5000, 0.5000, 0.5000)

=====

[10]
The following is a DFT calculation (PBE) of Pm2ZrPb after structural relaxation.

* DOS(E_F): 0.93 states/eV per atom
* energy relative to the lowest polymorph listed for this composition: 0.000 eV/atom
* calculated density: 8.8 g/cm³
* electronic total energy: -5.62 eV per atom
* ΔH_f (0 K): -0.18 eV per atom
* M_tot: 0.0 Bohr magnetons per cell

a b c (Å): 4.7989 4.8078 4.8078
angles (deg): 90.00 90.00 90.00
Fractional positions:
Pm (0.0000, 0.0000, 0.5000)
Pm (0.0000, 0.5000, 0.0000)
Zr (0.5000, 0.5000, 0.5000)
Pb (0.5000, 0.0000, 0.0000)

=====

[11]
The following is a DFT calculation (PBE) of Pm2ZrPb after structural relaxation.

* DOS(E_F): 1.08 states/eV per atom
* energy relative to the lowest polymorph listed for this composition: 0.291 eV/atom
* calculated density: 7.8 g/cm³
* electronic total energy: -5.33 eV per atom
* ΔH_f (0 K): 0.11 eV per atom
* M_tot: 0.0 Bohr magnetons per cell

a b c (Å): 3.4701 3.4701 12.1275
angles (deg): 81.77 81.77 60.00
Fractional positions:
Zr (0.5000, 0.5000, 0.5000)
Pb (0.0000, 0.0000, 0.0000)
Pm (0.9079, 0.9079, 0.2763)
Pm (0.0921, 0.0921, 0.7237)

=====

[12]
The following is a DFT calculation (PBE) of PrPb4 after structural relaxation.

* DOS(E_F): 1.04 states/eV per atom
* energy relative to the lowest polymorph listed for this composition: 0.763 eV/atom
* calculated density: 7.4 g/cm³
* electronic total energy: -3.41 eV per atom
* ΔH_f (0 K): 0.52 eV per atom
* M_tot: 0.0 Bohr magnetons per cell

a b c (Å): 6.0080 6.0080 6.0080
angles (deg): 90.00 90.00 90.00
Fractional positions:
Pr (0.5000, 0.5000, 0.5000)
Pb (0.0000, 0.0000, 0.0000)
Pb (0.5000, 0.5000, 0.0000)
Pb (0.0000, 0.5000, 0.5000)
Pb (0.5000, 0.0000, 0.5000)

=====

What did the twelfth record say?
The following is a DFT calculation (PBE) of PrPb4 after structural relaxation.

* DOS(E_F): 1.04 states/eV per atom
* energy relative to the lowest polymorph listed for this composition: 0.763 eV/atom
* calculated density: 7.4 g/cm³
* electronic total energy: -3.41 eV per atom
* ΔH_f (0 K): 0.52 eV per atom
* M_tot: 0.0 Bohr magnetons per cell

a b c (Å): 6.0080 6.0080 6.0080
angles (deg): 90.00 90.00 90.00
Fractional positions:
Pr (0.5000, 0.5000, 0.5000)
Pb (0.0000, 0.0000, 0.0000)
Pb (0.5000, 0.5000, 0.0000)
Pb (0.0000, 0.5000, 0.5000)
Pb (0.5000, 0.0000, 0.5000)

=====

Among the records above, which one has the lowest ΔH_f (0 K)? Pm3ZrPb5